Entry 1:
A relaxed structure of LiCo2SnH, computed with PBE-GGA.

Cell and atoms, written as POSCAR:
```
LiCo2SnH
1.0
3.783 0.000 0.000
0.000 3.783 0.000
0.000 0.000 3.728
H Co Sn Li
1 2 1 1
Cartesian
0.000 0.000 0.000
0.000 1.891 0.000
1.891 0.000 0.000
1.891 1.891 1.864
0.000 0.000 1.864
```

E: -4.804 eV per atom


Entry 2:
A relaxed structure of YRe2Tc, computed with PBE-GGA.

Cell and atoms, written as POSCAR:
```
YRe2Tc
1.0
5.263 -0.010 0.000
-2.590 4.582 0.000
0.000 0.000 2.872
Re Tc Y
2 1 1
Cartesian
0.000 0.000 0.000
1.337 2.286 0.000
2.632 -0.005 1.436
-1.295 2.291 1.436
```

Formation enthalpy at 0 K: 0.565 eV per atom
Excess energy over the best structure of this formula in the dataset: 365 meV per atom


Entry 3:
A relaxed structure of ErZrCoOs, computed with PBE-GGA.

Cell and atoms, written as POSCAR:
```
ErZrCoOs
1.0
4.661 0.000 0.000
2.330 4.036 0.000
2.330 1.345 3.805
Co Os Zr Er
1 1 1 1
Cartesian
6.991 4.036 2.854
2.330 1.345 0.951
4.661 2.691 1.903
0.000 0.000 0.000
```

Formation enthalpy at 0 K: -0.317 eV per atom
Excess energy over the best structure of this formula in the dataset: 24 meV per atom


Entry 4:
A relaxed structure of TiFe4Sb, computed with PBE-GGA.

Cell and atoms, written as POSCAR:
```
TiFe4Sb
1.0
-1.398 -3.537 3.019
3.193 -3.362 1.445
1.576 -0.036 4.593
Sb Fe Ti
1 4 1
Cartesian
0.000 0.000 0.000
1.321 -4.311 3.372
0.519 -2.659 4.936
2.104 -4.328 5.654
2.799 -2.572 4.154
0.843 -1.734 2.264
```

Raw formation energy: -118 meV per atom


Entry 5:
A relaxed structure of CuNi2AgN, computed with PBE-GGA.

Cell and atoms, written as POSCAR:
```
CuNi2AgN
1.0
-0.454 1.877 -3.262
-0.342 -3.293 -1.848
-3.943 0.077 0.593
Ni Cu Ag N
2 1 1 1
Cartesian
-0.171 -1.646 -0.924
-0.227 0.939 -1.631
-1.972 0.039 0.296
-2.369 -0.669 -2.258
0.000 0.000 0.000
```

Raw formation energy: 63 meV per atom


Entry 6:
A relaxed structure of DyCuSeS, computed with PBE-GGA.

Cell and atoms, written as POSCAR:
```
DyCuSeS
1.0
-2.438 2.115 2.479
-0.967 -1.491 3.661
9.341 6.185 7.250
Dy Cu Se S
2 2 2 2
Cartesian
0.109 1.773 5.275
5.827 5.036 8.115
2.501 3.993 9.073
3.435 2.816 4.317
5.437 3.958 5.311
0.499 2.851 8.079
5.644 5.787 10.635
0.291 1.022 2.755
```

Raw formation energy: -1234 meV per atom